1.
A geometry-optimized K3Tb2ScSe6 structure. Source: Alexandria via LeMat-Bulk, functional GGA-PBE.

Calculated values
Total DFT energy (no corrections), eV per atom: -5.028
Theoretical density, g/cm3: 4.59
Volume, Å³/atom: 28.73
Symmetry: C2/m (12)

Lattice parameters (Å, degrees): 7.206 7.206 8.035 98.61 98.61 120.00
Fractional positions:
K (0.000, 0.000, 0.000)
K (0.331, 0.669, 0.000)
K (0.669, 0.331, 0.000)
Tb (0.166, 0.834, 0.500)
Tb (0.834, 0.166, 0.500)
Sc (0.500, 0.500, 0.500)
Se (0.112, 0.433, 0.298)
Se (0.247, 0.247, 0.702)
Se (0.433, 0.112, 0.298)
Se (0.567, 0.888, 0.702)
Se (0.753, 0.753, 0.298)
Se (0.888, 0.567, 0.702)

***

2.
A geometry-optimized CsK6I8 structure. Source: Alexandria via LeMat-Bulk, functional GGA-PBE.

Calculated values
Total DFT energy (no corrections), eV per atom: -2.601
Theoretical density, g/cm3: 3.06
Volume, Å³/atom: 49.95
Symmetry: P-3 (147)

Lattice parameters (Å, degrees): 12.610 12.610 5.441 90.00 90.00 120.00
Fractional positions:
Cs (0.000, 0.000, 0.000)
K (0.124, 0.474, 0.746)
K (0.350, 0.876, 0.746)
K (0.474, 0.350, 0.254)
K (0.526, 0.650, 0.746)
K (0.650, 0.124, 0.254)
K (0.876, 0.526, 0.254)
I (0.034, 0.706, 0.755)
I (0.294, 0.328, 0.755)
I (0.328, 0.034, 0.245)
I (0.333, 0.667, 0.246)
I (0.667, 0.333, 0.754)
I (0.672, 0.966, 0.755)
I (0.706, 0.672, 0.245)
I (0.966, 0.294, 0.245)

***

3.
A geometry-optimized PmSc2Cd structure. Source: Alexandria via LeMat-Bulk, functional GGA-PBE.

Calculated values
Energy above the most stable polymorph in this dataset, eV per atom: 0.104
Theoretical density, g/cm3: 5.46
Volume, Å³/atom: 26.40
Symmetry: R3m (160)

Lattice parameters (Å, degrees): 10.602 10.602 10.602 18.57 18.57 18.57
Fractional positions:
Pm (0.000, 0.000, 0.000)
Sc (0.243, 0.243, 0.243)
Sc (0.424, 0.424, 0.424)
Cd (0.834, 0.834, 0.834)